Record 1
! Pu2Np2S7 | the Alexandria database | PBE | optimized geometry; values from VASP
! excess energy over the best structure of this formula in the dataset = 2.181 kcal/mol of atoms
! total magnetization = 16.00 μB per formula unit
! final energy = -197.2 eV/cell
! formation energy (no corrections) = -1377 meV/atom
&SYSTEM
  ibrav = 0, nat = 22, ntyp = 3
/
ATOMIC_SPECIES
S 32.06 S.upf
Np 237.00 Np.upf
Pu 244.00 Pu.upf
CELL_PARAMETERS angstrom
0.5492 -2.3956 8.7386
3.3894 -8.1067 2.2796
8.1033 -0.5546 4.0536
ATOMIC_POSITIONS crystal
S 0.0114 0.4886 0.4886
S 0.0114 0.4886 0.0114
S 0.7500 0.7500 0.7500
S 0.4886 0.0114 0.4886
S 0.7614 0.2386 0.2386
S 0.2386 0.7614 0.2386
S 0.2386 0.7614 0.7614
S 0.2386 0.2386 0.7614
S 0.5000 0.5000 0.5000
S 0.7614 0.7614 0.2386
S 0.4886 0.0114 0.0114
S 0.0114 0.0114 0.4886
S 0.4886 0.4886 0.0114
S 0.7614 0.2386 0.7614
Np 0.6250 0.6250 0.6250
Np 0.6250 0.6250 0.1250
Np 0.6250 0.1250 0.6250
Np 0.1250 0.6250 0.6250
Pu 0.6250 0.1250 0.1250
Pu 0.1250 0.1250 0.6250
Pu 0.1250 0.1250 0.1250
Pu 0.1250 0.6250 0.1250



Record 2
! PuNpS3 | the Alexandria database | PBE | optimized geometry; values from VASP
! excess energy over the best structure of this formula in the dataset = 5.447 kcal/mol of atoms
! total magnetization = 1.03 μB per formula unit
! final energy = -186.1 eV/cell
! formation energy (no corrections) = -1373 meV/atom
&SYSTEM
  ibrav = 0, nat = 20, ntyp = 3
/
ATOMIC_SPECIES
S 32.06 S.upf
Np 237.00 Np.upf
Pu 244.00 Pu.upf
CELL_PARAMETERS angstrom
7.3514 0.0000 0.0000
0.0000 6.7129 0.0000
0.0000 0.0000 9.8844
ATOMIC_POSITIONS crystal
S 0.6831 0.6745 0.9220
S 0.5692 0.1626 0.7500
S 0.8169 0.1745 0.4220
S 0.4308 0.8374 0.2500
S 0.1831 0.8255 0.5780
S 0.8169 0.1745 0.0780
S 0.6831 0.6745 0.5780
S 0.0692 0.3374 0.7500
S 0.3169 0.3255 0.4220
S 0.1831 0.8255 0.9220
S 0.9308 0.6626 0.2500
S 0.3169 0.3255 0.0780
Np 0.4072 0.5334 0.7500
Np 0.5928 0.4666 0.2500
Np 0.0928 0.0334 0.2500
Np 0.9072 0.9666 0.7500
Pu 0.5000 0.0000 0.0000
Pu 0.0000 0.5000 0.0000
Pu 0.0000 0.5000 0.5000
Pu 0.5000 0.0000 0.5000



Record 3
! PuNp3S4 | the Alexandria database | PBE | optimized geometry; values from VASP
! total magnetization = 7.03 μB per formula unit
! final energy = -81.2 eV/cell
! formation energy (no corrections) = -1443 meV/atom
&SYSTEM
  ibrav = 0, nat = 8, ntyp = 3
/
ATOMIC_SPECIES
S 32.06 S.upf
Np 237.00 Np.upf
Pu 244.00 Pu.upf
CELL_PARAMETERS angstrom
5.5390 0.0000 0.0000
0.0000 5.5390 0.0000
0.0000 0.0000 5.5390
ATOMIC_POSITIONS crystal
S 0.0000 0.0000 0.5000
S 0.5000 0.0000 0.0000
S 0.0000 0.5000 0.0000
S 0.5000 0.5000 0.5000
Np 0.5000 0.5000 0.0000
Np 0.0000 0.5000 0.5000
Np 0.5000 0.0000 0.5000
Pu 0.0000 0.0000 0.0000



Record 4
! PuNp5S6 | the Alexandria database | PBE | optimized geometry; values from VASP
! total magnetization = 9.02 μB per formula unit
! final energy = -120.8 eV/cell
! formation energy (no corrections) = -1412 meV/atom
&SYSTEM
  ibrav = 0, nat = 12, ntyp = 3
/
ATOMIC_SPECIES
S 32.06 S.upf
Pu 244.00 Pu.upf
Np 237.00 Np.upf
CELL_PARAMETERS angstrom
6.6421 -0.1051 -1.2510
-3.5902 5.5892 -1.2510
0.1309 0.2352 6.7533
ATOMIC_POSITIONS crystal
S 0.5829 0.9154 0.7467
S 0.7513 0.7513 0.2524
S 0.2487 0.2487 0.7476
S 0.9154 0.5829 0.7467
S 0.0846 0.4171 0.2533
S 0.4171 0.0846 0.2533
Pu 0.0000 0.0000 0.0000
Np 0.5000 0.5000 0.5000
Np 0.8339 0.1661 0.5000
Np 0.3331 0.6669 0.0000
Np 0.6669 0.3331 0.0000
Np 0.1661 0.8339 0.5000



Record 5
! PuNp2S6 | the Alexandria database | PBE | optimized geometry; values from VASP
! excess energy over the best structure of this formula in the dataset = 0.000 kcal/mol of atoms
! total magnetization = 10.00 μB per formula unit
! final energy = -77.1 eV/cell
! formation energy (no corrections) = -1352 meV/atom
&SYSTEM
  ibrav = 0, nat = 9, ntyp = 3
/
ATOMIC_SPECIES
S 32.06 S.upf
Np 237.00 Np.upf
Pu 244.00 Pu.upf
CELL_PARAMETERS angstrom
-0.7623 -3.8087 2.3636
5.9751 0.2589 2.3442
-4.8271 5.4783 2.8974
ATOMIC_POSITIONS crystal
S 0.5000 0.7470 0.0000
S 0.5000 0.2530 0.0000
S 0.8318 0.5797 0.6636
S 0.8318 0.0839 0.6636
S 0.1682 0.9161 0.3364
S 0.1682 0.4203 0.3364
Np 0.3337 0.3338 0.6676
Np 0.6663 0.6662 0.3324
Pu 0.0000 0.0000 0.0000



Record 6
! PuNpS | the Alexandria database | PBE | optimized geometry; values from VASP
! total magnetization = 1.11 μB per formula unit
! final energy = -133.9 eV/cell
! formation energy (no corrections) = -691 meV/atom
&SYSTEM
  ibrav = 0, nat = 12, ntyp = 3
/
ATOMIC_SPECIES
S 32.06 S.upf
Pu 244.00 Pu.upf
Np 237.00 Np.upf
CELL_PARAMETERS angstrom
3.4902 0.0000 0.0000
0.0000 5.8894 0.0000
0.0000 0.0000 10.9000
ATOMIC_POSITIONS crystal
S 0.2500 0.7078 0.0684
S 0.7500 0.2078 0.4316
S 0.2500 0.7922 0.5684
S 0.7500 0.2922 0.9316
Pu 0.7500 0.8279 0.8857
Pu 0.2500 0.1721 0.1143
Pu 0.7500 0.6721 0.3857
Pu 0.2500 0.3279 0.6143
Np 0.7500 0.9564 0.2188
Np 0.7500 0.5436 0.7188
Np 0.2500 0.0436 0.7812
Np 0.2500 0.4564 0.2812



Copy entry 2 word for word.
! PuNpS3 | the Alexandria database | PBE | optimized geometry; values from VASP
! excess energy over the best structure of this formula in the dataset = 5.447 kcal/mol of atoms
! total magnetization = 1.03 μB per formula unit
! final energy = -186.1 eV/cell
! formation energy (no corrections) = -1373 meV/atom
&SYSTEM
  ibrav = 0, nat = 20, ntyp = 3
/
ATOMIC_SPECIES
S 32.06 S.upf
Np 237.00 Np.upf
Pu 244.00 Pu.upf
CELL_PARAMETERS angstrom
7.3514 0.0000 0.0000
0.0000 6.7129 0.0000
0.0000 0.0000 9.8844
ATOMIC_POSITIONS crystal
S 0.6831 0.6745 0.9220
S 0.5692 0.1626 0.7500
S 0.8169 0.1745 0.4220
S 0.4308 0.8374 0.2500
S 0.1831 0.8255 0.5780
S 0.8169 0.1745 0.0780
S 0.6831 0.6745 0.5780
S 0.0692 0.3374 0.7500
S 0.3169 0.3255 0.4220
S 0.1831 0.8255 0.9220
S 0.9308 0.6626 0.2500
S 0.3169 0.3255 0.0780
Np 0.4072 0.5334 0.7500
Np 0.5928 0.4666 0.2500
Np 0.0928 0.0334 0.2500
Np 0.9072 0.9666 0.7500
Pu 0.5000 0.0000 0.0000
Pu 0.0000 0.5000 0.0000
Pu 0.0000 0.5000 0.5000
Pu 0.5000 0.0000 0.5000



Q: What is the formula in the first record?
A: Pu2Np2S7



Q: Look up the final energy of the fifth one.
A: -77.1 eV/cell